Entry 1:
# K2PuZnTe4 PBE optimized geometry
data_K2PuZnTe4
_chemical_formula_sum 'K4 Pu2 Zn2 Te8'
_cell_length_a 8.443
_cell_length_b 8.443
_cell_length_c 7.648
_cell_angle_alpha 90.00
_cell_angle_beta 90.00
_cell_angle_gamma 90.00
_symmetry_space_group_name_H-M 'I -4 2 m'
_symmetry_Int_Tables_number 121
_symmetry_space_group_name_Hall 'I -4 2'
loop_
_atom_site_label
_atom_site_type_symbol
_atom_site_fract_x
_atom_site_fract_y
_atom_site_fract_z
K1 K 0.000 0.500 0.000
Pu1 Pu 0.000 0.000 0.000
Zn1 Zn 0.000 0.000 0.500
Te1 Te 0.178 0.178 0.281
# Spin magnetization ... 3.96 μB/f.u.
# Density of states at the Fermi level ... 26.4 states/eV/cell
# Energy relative to the elements, uncorrected ... -0.7160 eV per atom

=====

Entry 2:
# K3PuZr2Te6 PBE optimized geometry
data_K3PuZr2Te6
_chemical_formula_sum 'K6 Pu2 Zr4 Te12'
_cell_length_a 7.491
_cell_length_b 13.001
_cell_length_c 8.701
_cell_angle_alpha 90.00
_cell_angle_beta 106.79
_cell_angle_gamma 90.00
_symmetry_space_group_name_H-M 'C 1 2/m 1'
_symmetry_Int_Tables_number 12
_symmetry_space_group_name_Hall '-C 2y'
loop_
_atom_site_label
_atom_site_type_symbol
_atom_site_fract_x
_atom_site_fract_y
_atom_site_fract_z
K1 K 0.000 0.000 0.000
K2 K 0.000 0.339 0.000
Pu1 Pu 0.000 0.500 0.500
Zr1 Zr 0.000 0.168 0.500
Te1 Te 0.218 0.000 0.704
Te2 Te 0.244 0.325 0.707
# Spin magnetization ... 6.98 μB/f.u.
# Density of states at the Fermi level ... 33.4 states/eV/cell
# Energy relative to the elements, uncorrected ... -1.0193 eV per atom

=====

Entry 3:
# KPuTl2 PBE optimized geometry
data_KPuTl2
_chemical_formula_sum 'K3 Pu3 Tl6'
_cell_length_a 3.5676
_cell_length_b 3.5676
_cell_length_c 34.6007
_cell_angle_alpha 90.00
_cell_angle_beta 90.00
_cell_angle_gamma 120.00
_symmetry_space_group_name_H-M 'R -3 m'
_symmetry_Int_Tables_number 166
_symmetry_space_group_name_Hall '-R 3 2"'
loop_
_atom_site_label
_atom_site_type_symbol
_atom_site_fract_x
_atom_site_fract_y
_atom_site_fract_z
K1 K 0.0000 0.0000 0.0000
Pu1 Pu 0.0000 0.0000 0.5000
Tl1 Tl 0.0000 0.0000 0.2458
# E_form ... 102 meV per atom
# Spin magnetization ... 6.28 μB/f.u.
# Density of states at the Fermi level ... 28.0 states/eV/cell

=====

Entry 4:
# KPuTl2 PBE optimized geometry
data_KPuTl2
_chemical_formula_sum 'K1 Pu1 Tl2'
_cell_length_a 5.904
_cell_length_b 5.904
_cell_length_c 3.568
_cell_angle_alpha 90.00
_cell_angle_beta 90.00
_cell_angle_gamma 90.00
_symmetry_space_group_name_H-M 'P 4/m m m'
_symmetry_Int_Tables_number 123
_symmetry_space_group_name_Hall '-P 4 2'
loop_
_atom_site_label
_atom_site_type_symbol
_atom_site_fract_x
_atom_site_fract_y
_atom_site_fract_z
K1 K 0.000 0.000 0.000
Pu1 Pu 0.500 0.500 0.000
Tl1 Tl 0.000 0.500 0.500
# E_form ... 53 meV per atom
# Spin magnetization ... 5.85 μB/f.u.
# Density of states at the Fermi level ... 11.7 states/eV/cell

=====

Entry 5:
# KPuTl2 PBE optimized geometry
data_KPuTl2
_chemical_formula_sum 'K4 Pu4 Tl8'
_cell_length_a 7.976
_cell_length_b 7.976
_cell_length_c 7.976
_cell_angle_alpha 90.00
_cell_angle_beta 90.00
_cell_angle_gamma 90.00
_symmetry_space_group_name_H-M 'F m -3 m'
_symmetry_Int_Tables_number 225
_symmetry_space_group_name_Hall '-F 4 2 3'
loop_
_atom_site_label
_atom_site_type_symbol
_atom_site_fract_x
_atom_site_fract_y
_atom_site_fract_z
K1 K 0.000 0.000 0.000
Pu1 Pu 0.000 0.000 0.500
Tl1 Tl 0.250 0.250 0.250
# E_form ... 123 meV per atom
# Spin magnetization ... 5.85 μB/f.u.
# Density of states at the Fermi level ... 62.8 states/eV/cell

=====

Entry 6:
# KPuTl2 PBE optimized geometry
data_KPuTl2
_chemical_formula_sum 'K1 Pu1 Tl2'
_cell_length_a 3.732
_cell_length_b 3.732
_cell_length_c 9.271
_cell_angle_alpha 90.00
_cell_angle_beta 90.00
_cell_angle_gamma 90.00
_symmetry_space_group_name_H-M 'P 4/m m m'
_symmetry_Int_Tables_number 123
_symmetry_space_group_name_Hall '-P 4 2'
loop_
_atom_site_label
_atom_site_type_symbol
_atom_site_fract_x
_atom_site_fract_y
_atom_site_fract_z
K1 K 0.000 0.000 0.000
Pu1 Pu 0.000 0.000 0.500
Tl1 Tl 0.500 0.500 0.282
# E_form ... 8 meV per atom
# Spin magnetization ... 5.75 μB/f.u.
# Density of states at the Fermi level ... 8.8 states/eV/cell

=====

Entry 7:
# K5Rb3 PBE optimized geometry
data_K5Rb3
_chemical_formula_sum 'K5 Rb3'
_cell_length_a 5.111
_cell_length_b 5.111
_cell_length_c 24.100
_cell_angle_alpha 90.00
_cell_angle_beta 90.00
_cell_angle_gamma 90.00
_symmetry_space_group_name_H-M 'P 4/m m m'
_symmetry_Int_Tables_number 123
_symmetry_space_group_name_Hall '-P 4 2'
loop_
_atom_site_label
_atom_site_type_symbol
_atom_site_fract_x
_atom_site_fract_y
_atom_site_fract_z
K1 K 0.000 0.000 0.000
K2 K 0.000 0.000 0.257
K3 K 0.500 0.500 0.372
Rb1 Rb 0.000 0.000 0.500
Rb2 Rb 0.500 0.500 0.128
# E_form ... 4 meV per atom
# Spin magnetization ... 0.00 μB/f.u.
# Density of states at the Fermi level ... 6.3 states/eV/cell

=====

Entry 8:
# K4Rb11 PBE optimized geometry
data_K4Rb11
_chemical_formula_sum 'K8 Rb22'
_cell_length_a 17.067
_cell_length_b 17.067
_cell_length_c 8.923
_cell_angle_alpha 90.00
_cell_angle_beta 90.00
_cell_angle_gamma 90.00
_symmetry_space_group_name_H-M 'P 42/m n m'
_symmetry_Int_Tables_number 136
_symmetry_space_group_name_Hall '-P 4n 2n'
loop_
_atom_site_label
_atom_site_type_symbol
_atom_site_fract_x
_atom_site_fract_y
_atom_site_fract_z
K1 K 0.036 0.371 0.000
Rb1 Rb 0.000 0.000 0.500
Rb2 Rb 0.064 0.270 0.500
Rb3 Rb 0.105 0.105 0.000
Rb4 Rb 0.183 0.817 0.249
# E_form ... 16 meV per atom
# Spin magnetization ... 0.00 μB/f.u.
# Density of states at the Fermi level ... 24.7 states/eV/cell